No. 1
# DyTmMg2Pd4

Crystalline DyTmMg2Pd4 at its relaxed geometry (GGA-PBE, Alexandria).

Cell lengths 4.7475, 4.7475, 23.3217 Å; angles 90.00, 90.00, 120.00 degrees
Space group R-3m (No. 166, hexagonal axes)
Inequivalent atoms, fractional coordinates:
Dy1 0.0000 0.0000 0.0000 (multiplicity 3)
Tm1 0.0000 0.0000 0.5000 (multiplicity 3)
Mg1 0.0000 0.0000 0.2495 (multiplicity 6)
Pd1 0.0000 0.0000 0.1255 (multiplicity 6)
Pd2 0.0000 0.0000 0.3765 (multiplicity 6)

Volume ... 18.97 A^3/atom
ΔH_f (0 K) ... -0.82 eV per atom
Size of the total moment ... 0.0000 μB/atom


No. 2
# DyTmMgPd

Crystalline DyTmMgPd at its relaxed geometry (GGA-PBE, Alexandria).

Cell lengths 7.207, 7.207, 7.207 Å; angles 90.00, 90.00, 90.00 degrees
Space group F-43m (No. 216)
Inequivalent atoms, fractional coordinates:
Dy1 0.000 0.000 0.000 (multiplicity 4)
Tm1 0.000 0.000 0.500 (multiplicity 4)
Mg1 0.250 0.250 0.250 (multiplicity 4)
Pd1 0.250 0.250 0.750 (multiplicity 4)

Volume ... 23.40 A^3/atom
ΔH_f (0 K) ... -0.41 eV per atom
Size of the total moment ... 0.0000 μB/atom


No. 3
# DyMgZn2Pd2

Crystalline DyMgZn2Pd2 at its relaxed geometry (GGA-PBE, Alexandria).

Cell lengths 4.4204, 4.4204, 6.5103 Å; angles 90.00, 90.00, 120.00 degrees
Space group P-3m1 (No. 164)
Inequivalent atoms, fractional coordinates:
Dy1 0.0000 0.0000 0.0000 (multiplicity 1)
Mg1 0.0000 0.0000 0.5000 (multiplicity 1)
Zn1 0.3333 0.6667 0.7146 (multiplicity 2)
Pd1 0.3333 0.6667 0.2870 (multiplicity 2)

Volume ... 18.36 A^3/atom
ΔH_f (0 K) ... -0.61 eV per atom
Size of the total moment ... 0.0000 μB/atom


No. 4
# Dy2MgZn2Pd5

Crystalline Dy2MgZn2Pd5 at its relaxed geometry (GGA-PBE, Alexandria).

Cell lengths 9.744, 9.744, 3.778 Å; angles 90.00, 90.00, 90.00 degrees
Space group P4/mbm (No. 127)
Inequivalent atoms, fractional coordinates:
Dy1 0.176 0.324 0.000 (multiplicity 4)
Mg1 0.000 0.000 0.000 (multiplicity 2)
Zn1 0.121 0.621 0.000 (multiplicity 4)
Pd1 0.000 0.500 0.500 (multiplicity 2)
Pd2 0.068 0.795 0.500 (multiplicity 8)

Volume ... 17.93 A^3/atom
ΔH_f (0 K) ... -0.71 eV per atom
Size of the total moment ... 0.0000 μB/atom


No. 5
# DyMg2ZnPd4

Crystalline DyMg2ZnPd4 at its relaxed geometry (GGA-PBE, Alexandria).

Cell lengths 4.5665, 4.5665, 22.8792 Å; angles 90.00, 90.00, 120.00 degrees
Space group R-3m (No. 166, hexagonal axes)
Inequivalent atoms, fractional coordinates:
Dy1 0.0000 0.0000 0.0000 (multiplicity 3)
Mg1 0.0000 0.0000 0.2440 (multiplicity 6)
Zn1 0.0000 0.0000 0.5000 (multiplicity 3)
Pd1 0.0000 0.0000 0.1268 (multiplicity 6)
Pd2 0.0000 0.0000 0.3862 (multiplicity 6)

Volume ... 17.22 A^3/atom
ΔH_f (0 K) ... -0.71 eV per atom
Size of the total moment ... 0.0000 μB/atom


No. 6
# Pm3Dy4Mg

Crystalline Pm3Dy4Mg at its relaxed geometry (GGA-PBE, Alexandria).

Cell lengths 11.349, 7.175, 6.241 Å; angles 90.00, 90.00, 90.00 degrees
Space group Pmn2_1 (No. 31)
Inequivalent atoms, fractional coordinates:
Pm1 0.000 0.129 0.000 (multiplicity 2)
Pm2 0.242 0.122 0.654 (multiplicity 4)
Dy1 0.000 0.383 0.472 (multiplicity 2)
Dy2 0.000 0.626 0.988 (multiplicity 2)
Dy3 0.244 0.625 0.647 (multiplicity 4)
Mg1 0.000 0.871 0.487 (multiplicity 2)

Volume ... 31.76 A^3/atom
ΔH_f (0 K) ... 0.00 eV per atom
Size of the total moment ... 0.0000 μB/atom